(1)
# MgAg2O4 | Alexandria via LeMat-Bulk | SCAN | PBEsol geometry
data_MgAg2O4
_chemical_formula_sum 'Mg4 Ag8 O16'
_cell_length_a 3.1197
_cell_length_b 9.6246
_cell_length_c 10.6519
_cell_angle_alpha 90.00
_cell_angle_beta 90.00
_cell_angle_gamma 90.00
_symmetry_space_group_name_H-M 'P 1'
_symmetry_Int_Tables_number 1
loop_
_symmetry_equiv_pos_as_xyz
'x,y,z'
loop_
_atom_site_label
_atom_site_type_symbol
_atom_site_fract_x
_atom_site_fract_y
_atom_site_fract_z
O1 O 0.8624 0.7500 0.2872
O2 O 0.5223 0.5000 0.7500
O3 O 0.1376 0.2500 0.7128
Mg1 Mg 0.3668 0.7500 0.1466
Ag1 Ag 0.1560 0.4284 0.6153
O4 O 0.4777 0.5000 0.2500
Mg2 Mg 0.6332 0.7500 0.6466
Ag2 Ag 0.1560 0.0716 0.6153
Ag3 Ag 0.1560 0.9284 0.8847
O5 O 0.8624 0.2500 0.2128
O6 O 0.1378 0.3763 0.9509
O7 O 0.8622 0.6237 0.0491
O8 O 0.1376 0.7500 0.7872
O9 O 0.8622 0.8763 0.0491
Ag4 Ag 0.1560 0.5716 0.8847
Mg3 Mg 0.3668 0.2500 0.3534
Ag5 Ag 0.8440 0.9284 0.3847
O10 O 0.8622 0.3763 0.4509
Ag6 Ag 0.8440 0.5716 0.3847
O11 O 0.8622 0.1237 0.4509
O12 O 0.1378 0.8763 0.5491
Ag7 Ag 0.8440 0.0716 0.1153
O13 O 0.5223 0.0000 0.7500
O14 O 0.1378 0.1237 0.9509
O15 O 0.4777 0.0000 0.2500
O16 O 0.1378 0.6237 0.5491
Mg4 Mg 0.6332 0.2500 0.8534
Ag8 Ag 0.8440 0.4284 0.1153
# - electronic total energy (eV/cell) = -395.15
# - energy above the most stable polymorph in this dataset (eV/atom) = 0.0000
# - E_form (uncorrected) (eV/atom) = -0.88

(2)
# MgAg2O4 | Alexandria via LeMat-Bulk | SCAN | PBEsol geometry
data_MgAg2O4
_chemical_formula_sum 'Mg2 Ag4 O8'
_cell_length_a 5.9228
_cell_length_b 5.9228
_cell_length_c 5.9228
_cell_angle_alpha 75.72
_cell_angle_beta 67.57
_cell_angle_gamma 111.83
_symmetry_space_group_name_H-M 'P 1'
_symmetry_Int_Tables_number 1
loop_
_symmetry_equiv_pos_as_xyz
'x,y,z'
loop_
_atom_site_label
_atom_site_type_symbol
_atom_site_fract_x
_atom_site_fract_y
_atom_site_fract_z
Ag1 Ag 0.5000 0.5000 0.0000
O1 O 0.0530 0.2196 0.7274
Ag2 Ag 0.7500 0.0977 0.1523
Mg1 Mg 0.0000 0.0000 0.5000
O2 O 0.5527 0.2734 0.7794
O3 O 0.9473 0.6679 0.7794
O4 O 0.5530 0.7804 0.6665
O5 O 0.4473 0.7266 0.2206
Mg2 Mg 0.5000 0.5000 0.5000
O6 O 0.9470 0.7804 0.2726
Ag3 Ag 0.2500 0.9023 0.8477
Ag4 Ag 0.0000 0.5000 0.5000
O7 O 0.4470 0.2196 0.3335
O8 O 0.0527 0.3321 0.2206
# - electronic total energy (eV/cell) = -196.52
# - density of states at the Fermi level (states/eV per cell) = 4.6
# - energy above the most stable polymorph in this dataset (eV/atom) = 0.0751
# - E_form (uncorrected) (eV/atom) = -0.80

(3)
# Mg2AgO | Alexandria via LeMat-Bulk | SCAN | PBEsol geometry
data_Mg2AgO
_chemical_formula_sum 'Mg4 Ag2 O2'
_cell_length_a 5.6015
_cell_length_b 5.6015
_cell_length_c 5.6015
_cell_angle_alpha 99.86
_cell_angle_beta 114.48
_cell_angle_gamma 114.48
_symmetry_space_group_name_H-M 'P 1'
_symmetry_Int_Tables_number 1
loop_
_symmetry_equiv_pos_as_xyz
'x,y,z'
loop_
_atom_site_label
_atom_site_type_symbol
_atom_site_fract_x
_atom_site_fract_y
_atom_site_fract_z
Ag1 Ag 0.0000 0.0000 0.0000
Mg1 Mg 0.6068 0.3750 0.4818
O1 O 0.0000 0.5000 0.5000
Mg2 Mg 0.8932 0.5182 0.1250
O2 O 0.5000 0.2500 0.7500
Mg3 Mg 0.1068 0.2318 0.6250
Mg4 Mg 0.3932 0.8750 0.7682
Ag2 Ag 0.5000 0.7500 0.2500
# - electronic total energy (eV/cell) = -105.04
# - density of states at the Fermi level (states/eV per cell) = 2.1
# - E_form (uncorrected) (eV/atom) = -1.24

- Among the records above, which one has the lowest electronic total energy?
  number 1

- Number 3 is which compound?
  Mg2AgO

Please write out number 3 again, unchanged.
# Mg2AgO | Alexandria via LeMat-Bulk | SCAN | PBEsol geometry
data_Mg2AgO
_chemical_formula_sum 'Mg4 Ag2 O2'
_cell_length_a 5.6015
_cell_length_b 5.6015
_cell_length_c 5.6015
_cell_angle_alpha 99.86
_cell_angle_beta 114.48
_cell_angle_gamma 114.48
_symmetry_space_group_name_H-M 'P 1'
_symmetry_Int_Tables_number 1
loop_
_symmetry_equiv_pos_as_xyz
'x,y,z'
loop_
_atom_site_label
_atom_site_type_symbol
_atom_site_fract_x
_atom_site_fract_y
_atom_site_fract_z
Ag1 Ag 0.0000 0.0000 0.0000
Mg1 Mg 0.6068 0.3750 0.4818
O1 O 0.0000 0.5000 0.5000
Mg2 Mg 0.8932 0.5182 0.1250
O2 O 0.5000 0.2500 0.7500
Mg3 Mg 0.1068 0.2318 0.6250
Mg4 Mg 0.3932 0.8750 0.7682
Ag2 Ag 0.5000 0.7500 0.2500
# - electronic total energy (eV/cell) = -105.04
# - density of states at the Fermi level (states/eV per cell) = 2.1
# - E_form (uncorrected) (eV/atom) = -1.24